AcCo2PdO8, relaxed, DFT PBE+U; density = 5.7 g/cm³; DOS at the Fermi energy = 0.39 states/eV/atom; space-group type = I-4m2, No. 119; E_tot = -5.7511 eV per atom
1.0
6.046 0.160 0.000
-2.538 5.490 0.000
-1.754 -2.825 5.052
O Co Ac Pd
8 2 1 1
direct
0.331 0.139 0.808 O
0.861 0.669 0.192 O
0.408 0.074 0.334 O
0.331 0.522 0.192 O
0.478 0.669 0.808 O
0.926 0.592 0.666 O
0.926 0.260 0.334 O
0.740 0.074 0.666 O
0.750 0.250 0.500 Co
0.500 0.500 0.000 Co
0.000 0.000 0.000 Ac
0.250 0.750 0.500 Pd